(1)
Material: K4Na2Pb
Method: DFT, GGA-PBE
State: optimized geometry

CIF file:
```
data_K4Na2Pb
_cell_length_a 6.873
_cell_length_b 6.873
_cell_length_c 18.898
_cell_angle_alpha 90.00
_cell_angle_beta 90.00
_cell_angle_gamma 90.00
_symmetry_space_group_name_H-M 'I 4/m m m'
_symmetry_Int_Tables_number 139
_symmetry_space_group_name_Hall '-I 4 2'
loop_
_atom_site_label
_atom_site_type_symbol
_atom_site_fract_x
_atom_site_fract_y
_atom_site_fract_z
K1 K 0.000 0.000 0.185
K2 K 0.000 0.500 0.000
Na1 Na 0.000 0.000 0.394
Pb1 Pb 0.000 0.000 0.000
```


(2)
Material: K12Na3Pb
Method: DFT, GGA-PBE
State: optimized geometry

CIF file:
```
data_K12Na3Pb
_cell_length_a 6.184
_cell_length_b 6.184
_cell_length_c 24.207
_cell_angle_alpha 90.00
_cell_angle_beta 90.00
_cell_angle_gamma 90.00
_symmetry_space_group_name_H-M 'P 4/m m m'
_symmetry_Int_Tables_number 123
_symmetry_space_group_name_Hall '-P 4 2'
loop_
_atom_site_label
_atom_site_type_symbol
_atom_site_fract_x
_atom_site_fract_y
_atom_site_fract_z
K1 K 0.000 0.000 0.000
K2 K 0.000 0.000 0.237
K3 K 0.000 0.000 0.500
K4 K 0.000 0.500 0.102
K5 K 0.000 0.500 0.369
Na1 Na 0.500 0.500 0.239
Na2 Na 0.500 0.500 0.500
Pb1 Pb 0.500 0.500 0.000
```


(3)
Material: K2Na5Pb2
Method: DFT, GGA-PBE
State: optimized geometry

CIF file:
```
data_K2Na5Pb2
_cell_length_a 12.597
_cell_length_b 4.910
_cell_length_c 11.013
_cell_angle_alpha 90.00
_cell_angle_beta 109.48
_cell_angle_gamma 90.00
_symmetry_space_group_name_H-M 'C 1 2/m 1'
_symmetry_Int_Tables_number 12
_symmetry_space_group_name_Hall '-C 2y'
loop_
_atom_site_label
_atom_site_type_symbol
_atom_site_fract_x
_atom_site_fract_y
_atom_site_fract_z
K1 K 0.003 0.000 0.180
Na1 Na 0.000 0.000 0.500
Na2 Na 0.191 0.500 0.402
Na3 Na 0.205 0.500 0.077
Pb1 Pb 0.175 0.500 0.713
```


(4)
Material: K2Na2Pb3
Method: DFT, GGA-PBE
State: optimized geometry

CIF file:
```
data_K2Na2Pb3
_cell_length_a 12.378
_cell_length_b 5.580
_cell_length_c 8.121
_cell_angle_alpha 90.00
_cell_angle_beta 113.04
_cell_angle_gamma 90.00
_symmetry_space_group_name_H-M 'C 1 2/m 1'
_symmetry_Int_Tables_number 12
_symmetry_space_group_name_Hall '-C 2y'
loop_
_atom_site_label
_atom_site_type_symbol
_atom_site_fract_x
_atom_site_fract_y
_atom_site_fract_z
K1 K 0.154 0.000 0.262
Na1 Na 0.137 0.000 0.737
Pb1 Pb 0.000 0.500 0.500
Pb2 Pb 0.095 0.500 0.920
```


(5)
Material: K2Na5Pb2
Method: DFT, GGA-PBE
State: optimized geometry

CIF file:
```
data_K2Na5Pb2
_cell_length_a 17.170
_cell_length_b 10.533
_cell_length_c 8.340
_cell_angle_alpha 90.00
_cell_angle_beta 90.00
_cell_angle_gamma 90.00
_symmetry_space_group_name_H-M 'I m a 2'
_symmetry_Int_Tables_number 46
_symmetry_space_group_name_Hall 'I 2 -2a'
loop_
_atom_site_label
_atom_site_type_symbol
_atom_site_fract_x
_atom_site_fract_y
_atom_site_fract_z
K1 K 0.121 0.051 0.000
Na1 Na 0.067 0.700 0.863
Na2 Na 0.144 0.110 0.487
Na3 Na 0.250 0.664 0.144
Pb1 Pb 0.000 0.000 0.661
Pb2 Pb 0.250 0.568 0.788
```


(6)
Material: KNa4Pb2
Method: DFT, GGA-PBE
State: optimized geometry

CIF file:
```
data_KNa4Pb2
_cell_length_a 5.698
_cell_length_b 16.016
_cell_length_c 5.737
_cell_angle_alpha 90.00
_cell_angle_beta 90.00
_cell_angle_gamma 90.00
_symmetry_space_group_name_H-M 'C m m m'
_symmetry_Int_Tables_number 65
_symmetry_space_group_name_Hall '-C 2 2'
loop_
_atom_site_label
_atom_site_type_symbol
_atom_site_fract_x
_atom_site_fract_y
_atom_site_fract_z
K1 K 0.000 0.000 0.000
Na1 Na 0.000 0.186 0.500
Na2 Na 0.000 0.324 0.000
Pb1 Pb 0.000 0.407 0.500
```


(7)
Material: KNaPb3
Method: DFT, GGA-PBE
State: optimized geometry

CIF file:
```
data_KNaPb3
_cell_length_a 6.075
_cell_length_b 6.075
_cell_length_c 6.075
_cell_angle_alpha 90.00
_cell_angle_beta 90.00
_cell_angle_gamma 90.00
_symmetry_space_group_name_H-M 'P m -3 m'
_symmetry_Int_Tables_number 221
_symmetry_space_group_name_Hall '-P 4 2 3'
loop_
_atom_site_label
_atom_site_type_symbol
_atom_site_fract_x
_atom_site_fract_y
_atom_site_fract_z
K1 K 0.000 0.000 0.000
Na1 Na 0.500 0.500 0.500
Pb1 Pb 0.000 0.000 0.500
```


(8)
Material: K2Na6Pb
Method: DFT, GGA-PBE
State: optimized geometry

CIF file:
```
data_K2Na6Pb
_cell_length_a 10.7453
_cell_length_b 10.7453
_cell_length_c 3.7452
_cell_angle_alpha 90.00
_cell_angle_beta 90.00
_cell_angle_gamma 120.00
_symmetry_space_group_name_H-M 'P -3 1 m'
_symmetry_Int_Tables_number 162
_symmetry_space_group_name_Hall '-P 3 2'
loop_
_atom_site_label
_atom_site_type_symbol
_atom_site_fract_x
_atom_site_fract_y
_atom_site_fract_z
K1 K 0.3333 0.6667 0.0000
Na1 Na 0.0000 0.2952 0.7495
Pb1 Pb 0.0000 0.0000 0.5000
```


(9)
Material: K3Na3Pb
Method: DFT, GGA-PBE
State: optimized geometry

CIF file:
```
data_K3Na3Pb
_cell_length_a 10.2351
_cell_length_b 10.2351
_cell_length_c 6.4922
_cell_angle_alpha 90.00
_cell_angle_beta 90.00
_cell_angle_gamma 120.00
_symmetry_space_group_name_H-M 'P 63/m'
_symmetry_Int_Tables_number 176
_symmetry_space_group_name_Hall '-P 6c'
loop_
_atom_site_label
_atom_site_type_symbol
_atom_site_fract_x
_atom_site_fract_y
_atom_site_fract_z
K1 K 0.0941 0.6052 0.2500
Na1 Na 0.0858 0.8353 0.7500
Pb1 Pb 0.3333 0.6667 0.7500
```


(10)
Material: K2Na8Pb
Method: DFT, GGA-PBE
State: optimized geometry

CIF file:
```
data_K2Na8Pb
_cell_length_a 16.094
_cell_length_b 8.876
_cell_length_c 7.006
_cell_angle_alpha 90.00
_cell_angle_beta 109.10
_cell_angle_gamma 90.00
_symmetry_space_group_name_H-M 'C 1 2/m 1'
_symmetry_Int_Tables_number 12
_symmetry_space_group_name_Hall '-C 2y'
loop_
_atom_site_label
_atom_site_type_symbol
_atom_site_fract_x
_atom_site_fract_y
_atom_site_fract_z
K1 K 0.130 0.000 0.052
Na1 Na 0.094 0.306 0.432
Na2 Na 0.096 0.500 0.918
Na3 Na 0.220 0.000 0.637
Pb1 Pb 0.000 0.000 0.500
```


(11)
Material: KNa2Pb2
Method: DFT, GGA-PBE
State: optimized geometry

CIF file:
```
data_KNa2Pb2
_cell_length_a 5.802
_cell_length_b 5.802
_cell_length_c 11.183
_cell_angle_alpha 90.00
_cell_angle_beta 90.00
_cell_angle_gamma 90.00
_symmetry_space_group_name_H-M 'I 4/m m m'
_symmetry_Int_Tables_number 139
_symmetry_space_group_name_Hall '-I 4 2'
loop_
_atom_site_label
_atom_site_type_symbol
_atom_site_fract_x
_atom_site_fract_y
_atom_site_fract_z
K1 K 0.000 0.000 0.000
Na1 Na 0.000 0.500 0.250
Pb1 Pb 0.000 0.000 0.372
```


(12)
Material: K2Na8Pb
Method: DFT, GGA-PBE
State: optimized geometry

CIF file:
```
data_K2Na8Pb
_cell_length_a 18.019
_cell_length_b 5.857
_cell_length_c 9.070
_cell_angle_alpha 90.00
_cell_angle_beta 114.91
_cell_angle_gamma 90.00
_symmetry_space_group_name_H-M 'C 1 2/m 1'
_symmetry_Int_Tables_number 12
_symmetry_space_group_name_Hall '-C 2y'
loop_
_atom_site_label
_atom_site_type_symbol
_atom_site_fract_x
_atom_site_fract_y
_atom_site_fract_z
K1 K 0.233 0.000 0.163
Na1 Na 0.029 0.000 0.216
Na2 Na 0.071 0.500 0.908
Na3 Na 0.111 0.000 0.621
Na4 Na 0.155 0.500 0.380
Pb1 Pb 0.000 0.500 0.500
```


(13)
Material: K3Na3Pb
Method: DFT, GGA-PBE
State: optimized geometry

CIF file:
```
data_K3Na3Pb
_cell_length_a 8.0551
_cell_length_b 8.0551
_cell_length_c 36.8239
_cell_angle_alpha 90.00
_cell_angle_beta 90.00
_cell_angle_gamma 120.00
_symmetry_space_group_name_H-M 'R -3'
_symmetry_Int_Tables_number 148
_symmetry_space_group_name_Hall '-R 3'
loop_
_atom_site_label
_atom_site_type_symbol
_atom_site_fract_x
_atom_site_fract_y
_atom_site_fract_z
K1 K 0.0080 0.3514 0.2191
Na1 Na 0.0368 0.2849 0.6944
Pb1 Pb 0.0000 0.0000 0.3750
```


(14)
Material: KNa6Pb
Method: DFT, GGA-PBE
State: optimized geometry

CIF file:
```
data_KNa6Pb
_cell_length_a 5.924
_cell_length_b 7.645
_cell_length_c 6.384
_cell_angle_alpha 90.00
_cell_angle_beta 90.00
_cell_angle_gamma 90.00
_symmetry_space_group_name_H-M 'P m m 2'
_symmetry_Int_Tables_number 25
_symmetry_space_group_name_Hall 'P 2 -2'
loop_
_atom_site_label
_atom_site_type_symbol
_atom_site_fract_x
_atom_site_fract_y
_atom_site_fract_z
K1 K 0.000 0.000 0.000
Na1 Na 0.000 0.284 0.497
Na2 Na 0.000 0.500 0.039
Na3 Na 0.500 0.000 0.386
Na4 Na 0.500 0.288 0.829
Pb1 Pb 0.500 0.500 0.322
```


(15)
Material: KNaPb2
Method: DFT, GGA-PBE
State: optimized geometry

CIF file:
```
data_KNaPb2
_cell_length_a 8.032
_cell_length_b 8.032
_cell_length_c 8.032
_cell_angle_alpha 90.00
_cell_angle_beta 90.00
_cell_angle_gamma 90.00
_symmetry_space_group_name_H-M 'F m -3 m'
_symmetry_Int_Tables_number 225
_symmetry_space_group_name_Hall '-F 4 2 3'
loop_
_atom_site_label
_atom_site_type_symbol
_atom_site_fract_x
_atom_site_fract_y
_atom_site_fract_z
K1 K 0.000 0.000 0.000
Na1 Na 0.000 0.000 0.500
Pb1 Pb 0.250 0.250 0.250
```


(16)
Material: KNa14Pb
Method: DFT, GGA-PBE
State: optimized geometry

CIF file:
```
data_KNa14Pb
_cell_length_a 12.011
_cell_length_b 7.961
_cell_length_c 12.249
_cell_angle_alpha 90.00
_cell_angle_beta 90.00
_cell_angle_gamma 90.00
_symmetry_space_group_name_H-M 'A m m 2'
_symmetry_Int_Tables_number 38
_symmetry_space_group_name_Hall 'A 2 -2'
loop_
_atom_site_label
_atom_site_type_symbol
_atom_site_fract_x
_atom_site_fract_y
_atom_site_fract_z
K1 K 0.000 0.000 0.000
Na1 Na 0.000 0.232 0.743
Na2 Na 0.233 0.000 0.302
Na3 Na 0.246 0.226 0.553
Na4 Na 0.271 0.000 0.809
Na5 Na 0.500 0.000 0.085
Na6 Na 0.500 0.000 0.601
Na7 Na 0.500 0.228 0.344
Pb1 Pb 0.000 0.000 0.487
```


(17)
Material: KNa3Pb2
Method: DFT, GGA-PBE
State: optimized geometry

CIF file:
```
data_KNa3Pb2
_cell_length_a 16.962
_cell_length_b 8.770
_cell_length_c 6.311
_cell_angle_alpha 90.00
_cell_angle_beta 90.00
_cell_angle_gamma 90.00
_symmetry_space_group_name_H-M 'C m c m'
_symmetry_Int_Tables_number 63
_symmetry_space_group_name_Hall '-C 2c 2'
loop_
_atom_site_label
_atom_site_type_symbol
_atom_site_fract_x
_atom_site_fract_y
_atom_site_fract_z
K1 K 0.000 0.183 0.250
Na1 Na 0.000 0.376 0.750
Na2 Na 0.197 0.171 0.750
Pb1 Pb 0.156 0.500 0.000
```


(18)
Material: K3Na3Pb2
Method: DFT, GGA-PBE
State: optimized geometry

CIF file:
```
data_K3Na3Pb2
_cell_length_a 5.762
_cell_length_b 13.175
_cell_length_c 17.793
_cell_angle_alpha 90.00
_cell_angle_beta 90.00
_cell_angle_gamma 90.00
_symmetry_space_group_name_H-M 'C m c m'
_symmetry_Int_Tables_number 63
_symmetry_space_group_name_Hall '-C 2c 2'
loop_
_atom_site_label
_atom_site_type_symbol
_atom_site_fract_x
_atom_site_fract_y
_atom_site_fract_z
K1 K 0.000 0.084 0.102
K2 K 0.000 0.360 0.250
Na1 Na 0.000 0.344 0.750
Na2 Na 0.000 0.355 0.036
Pb1 Pb 0.000 0.204 0.608
```


(19)
Material: KNa6Pb
Method: DFT, GGA-PBE
State: optimized geometry

CIF file:
```
data_KNa6Pb
_cell_length_a 8.6699
_cell_length_b 8.6699
_cell_length_c 15.3311
_cell_angle_alpha 90.00
_cell_angle_beta 90.00
_cell_angle_gamma 120.00
_symmetry_space_group_name_H-M 'R -3 m'
_symmetry_Int_Tables_number 166
_symmetry_space_group_name_Hall '-R 3 2"'
loop_
_atom_site_label
_atom_site_type_symbol
_atom_site_fract_x
_atom_site_fract_y
_atom_site_fract_z
K1 K 0.0000 0.0000 0.0000
Na1 Na 0.0669 0.5334 0.8993
Pb1 Pb 0.0000 0.0000 0.5000
```


(20)
Material: KNa7Pb5
Method: DFT, GGA-PBE
State: optimized geometry

CIF file:
```
data_KNa7Pb5
_cell_length_a 6.936
_cell_length_b 11.189
_cell_length_c 11.084
_cell_angle_alpha 90.00
_cell_angle_beta 90.00
_cell_angle_gamma 90.00
_symmetry_space_group_name_H-M 'I m m 2'
_symmetry_Int_Tables_number 44
_symmetry_space_group_name_Hall 'I 2 -2'
loop_
_atom_site_label
_atom_site_type_symbol
_atom_site_fract_x
_atom_site_fract_y
_atom_site_fract_z
K1 K 0.000 0.000 0.000
Na1 Na 0.000 0.000 0.338
Na2 Na 0.000 0.000 0.672
Na3 Na 0.000 0.288 0.512
Na4 Na 0.000 0.338 0.028
Na5 Na 0.000 0.500 0.739
Pb1 Pb 0.000 0.500 0.296
Pb2 Pb 0.237 0.248 0.769
```


Total energy
In order: -1.4159 -1.2901 -1.8736 -2.3843 -1.8262 -2.0543 -2.0206 -1.5176 -1.5989 -1.4877 -2.3057 -1.5164 -1.6134 -1.6206 -2.4900 -1.4606 -2.1168 -1.9053 -1.5463 -2.3411
Unit: eV per atom
N(E_F)
In order: 7.82 13.02 3.89 4.16 6.32 2.52 3.31 4.44 2.19 5.56 2.16 4.96 3.54 2.49 0.19 8.67 3.23 2.58 3.02 7.49
Unit: states/eV/f.u.